Record 1
{
  "formula": "LaEr7Hg4",
  "functional": "PBE",
  "state": "relaxed",
  "lattice": [[-0.814, 3.693, 4.239], [3.238, -3.536, 7.509], [6.670, 3.586, 1.963]],
  "species": ["Er", "Hg", "Hg", "Er", "La", "Er", "Er", "Er", "Er", "Hg", "Hg", "Er"],
  "frac_coords": [[0.729, 0.320, 0.221], [0.310, 0.336, 0.043], [0.690, 0.664, 0.957], [0.208, 0.118, 0.467], [0.000, 0.000, 0.000], [0.500, 0.000, 0.000], [0.067, 0.592, 0.273], [0.271, 0.680, 0.779], [0.792, 0.882, 0.533], [0.546, 0.274, 0.633], [0.454, 0.726, 0.367], [0.933, 0.408, 0.727]],
  "formation_enthalpy_0k_mev_per_atom": -94.6
}

---

Record 2
{
  "formula": "La6ErHg",
  "functional": "PBE",
  "state": "relaxed",
  "lattice": [[5.083, 0.000, 0.000], [0.000, 5.083, 0.000], [0.000, 0.000, 10.363]],
  "species": ["Hg", "La", "La", "La", "La", "Er", "La", "La"],
  "frac_coords": [[0.000, 0.000, 0.500], [0.000, 0.500, 0.746], [0.000, 0.500, 0.254], [0.500, 0.500, 0.000], [0.500, 0.000, 0.254], [0.000, 0.000, 0.000], [0.500, 0.500, 0.500], [0.500, 0.000, 0.746]],
  "formation_enthalpy_0k_mev_per_atom": -87.0
}

---

Record 3
{
  "formula": "LaEr5Hg4",
  "functional": "PBE",
  "state": "relaxed",
  "lattice": [[3.679, 0.000, 0.000], [0.000, 3.679, 0.000], [0.000, 0.000, 19.894]],
  "species": ["Er", "La", "Er", "Hg", "Er", "Er", "Er", "Hg", "Hg", "Hg"],
  "frac_coords": [[0.500, 0.500, 0.500], [0.000, 0.000, 0.000], [0.500, 0.500, 0.872], [0.000, 0.000, 0.218], [0.500, 0.500, 0.314], [0.500, 0.500, 0.128], [0.500, 0.500, 0.686], [0.000, 0.000, 0.782], [0.000, 0.000, 0.594], [0.000, 0.000, 0.406]],
  "formation_enthalpy_0k_mev_per_atom": -379.1
}

---

Record 4
{
  "formula": "LaEr4Hg4",
  "functional": "PBE",
  "state": "relaxed",
  "lattice": [[5.427, 0.000, 0.000], [0.000, 9.676, 0.000], [0.000, 0.000, 9.676]],
  "species": ["Er", "Hg", "Er", "Hg", "Hg", "Hg", "Er", "Er", "Hg", "Er", "La", "Hg", "Hg", "Hg", "Er", "Er", "Er", "La"],
  "frac_coords": [[0.064, 0.090, 0.645], [0.064, 0.710, 0.605], [0.936, 0.355, 0.090], [0.436, 0.790, 0.895], [0.436, 0.210, 0.105], [0.564, 0.895, 0.210], [0.564, 0.855, 0.590], [0.064, 0.910, 0.355], [0.564, 0.105, 0.790], [0.436, 0.590, 0.145], [0.500, 0.500, 0.500], [0.064, 0.290, 0.395], [0.936, 0.395, 0.710], [0.936, 0.605, 0.290], [0.436, 0.410, 0.855], [0.564, 0.145, 0.410], [0.936, 0.645, 0.910], [0.000, 0.000, 0.000]],
  "formation_enthalpy_0k_mev_per_atom": -255.6
}